DFT (PBE) results for La12Tb7Dy after structural relaxation.

* E above lowest polymorph: 0.005 eV per atom
* crystal system: trigonal
* calculated formation energy: 0.1920 eV/atom

a = 8.8850 Å, b = 8.8850 Å, c = 8.8850 Å
α = 89.70°, β = 89.70°, γ = 89.70°
Fractional coordinates of all 20 atoms:
La1 0.4820 0.6086 0.1441
La2 0.5180 0.3914 0.8559
La3 0.1441 0.7339 0.2827
La4 0.3914 0.8559 0.5180
La5 0.7339 0.2827 0.1441
La6 0.8559 0.5180 0.3914
La7 0.8559 0.2661 0.7173
La8 0.2827 0.1441 0.7339
La9 0.1441 0.4820 0.6086
La10 0.7173 0.8559 0.2661
La11 0.6086 0.1441 0.4820
La12 0.2661 0.7173 0.8559
Tb1 0.1409 0.3762 0.0600
Tb2 0.8591 0.6238 0.9400
Tb3 0.9400 0.8591 0.6238
Tb4 0.5000 0.5000 0.5000
Tb5 0.3762 0.0600 0.1409
Tb6 0.0600 0.1409 0.3762
Tb7 0.6238 0.9400 0.8591
Dy1 0.0000 0.0000 0.0000


DFT (PBE) results for Tc4Os5 after structural relaxation.

* E above lowest polymorph: 0.000 eV per atom
* crystal system: tetragonal
* calculated formation energy: 0.0750 eV/atom

a = 6.1214 Å, b = 6.1214 Å, c = 6.1214 Å
α = 95.70°, β = 95.70°, γ = 143.27°
Fractional coordinates of all 9 atoms:
Os1 0.6665 0.3335 0.0000
Os2 0.3335 0.3335 0.6670
Os3 0.6665 0.6665 0.3330
Os4 0.3335 0.6665 0.0000
Os5 0.0000 0.0000 0.0000
Tc1 0.3310 0.0000 0.3310
Tc2 0.0000 0.6690 0.6690
Tc3 0.6690 0.0000 0.6690
Tc4 0.0000 0.3310 0.3310


DFT (PBE) results for GaBi3Se after structural relaxation.

* E above lowest polymorph: 0.000 eV per atom
* crystal system: cubic
* ΔE_f (raw): 520 meV/atom

a = 5.6493 Å, b = 5.6493 Å, c = 5.6493 Å
α = 90.00°, β = 90.00°, γ = 90.00°
Fractional coordinates of all 5 atoms:
Bi1 0.0000 0.5000 0.0000
Bi2 0.0000 0.0000 0.5000
Bi3 0.5000 0.0000 0.0000
Se1 0.0000 0.0000 0.0000
Ga1 0.5000 0.5000 0.5000


DFT (PBE) results for ZrHgS2 after structural relaxation.

* crystal system: trigonal
* ΔE_f (raw): -694 meV/atom

a = 10.0847 Å, b = 10.0847 Å, c = 10.0847 Å
α = 23.37°, β = 23.37°, γ = 23.37°
Fractional coordinates of all 4 atoms:
Zr1 0.0110 0.0110 0.0110
S1 0.6448 0.6448 0.6448
S2 0.0864 0.0864 0.0864
Hg1 0.5088 0.5088 0.5088


DFT (PBE) results for Ba5PmBi4 after structural relaxation.

* crystal system: monoclinic
* calculated formation energy: -0.7559 eV/atom

a = 5.1061 Å, b = 9.2700 Å, c = 11.5466 Å
α = 113.57°, β = 102.77°, γ = 90.00°
Site moments in Bohr magnetons follow the coordinates.
Fractional coordinates of all 10 atoms:
Pm1 0.5000 0.0000 0.0000  0.03
Ba1 0.8340 0.5822 0.6679  0.03
Ba2 0.5000 0.5000 0.0000  0.06
Ba3 0.8334 0.0830 0.6669  0.03
Ba4 0.1660 0.4178 0.3321  0.03
Ba5 0.1666 0.9170 0.3331  0.03
Bi1 0.0004 0.7687 0.0007  0.00
Bi2 0.9996 0.2314 0.9993  0.00
Bi3 0.6857 0.1867 0.3714  0.00
Bi4 0.3143 0.8133 0.6286  0.00


DFT (PBE) results for Nd5CdGa4 after structural relaxation.

* crystal system: tetragonal
* calculated formation energy: -0.5081 eV/atom

a = 3.6967 Å, b = 3.6967 Å, c = 18.9717 Å
α = 90.00°, β = 90.00°, γ = 90.00°
Fractional coordinates of all 10 atoms:
Nd1 0.5000 0.5000 0.3056
Nd2 0.5000 0.5000 0.6944
Nd3 0.5000 0.5000 0.8892
Nd4 0.5000 0.5000 0.5000
Nd5 0.5000 0.5000 0.1108
Cd1 0.0000 0.0000 0.0000
Ga1 0.0000 0.0000 0.7945
Ga2 0.0000 0.0000 0.4029
Ga3 0.0000 0.0000 0.2055
Ga4 0.0000 0.0000 0.5971


DFT (PBE) results for CoBr after structural relaxation.

* E above lowest polymorph: 0.166 eV per atom
* crystal system: trigonal
* ΔE_f (raw): 51 meV/atom

a = 3.6593 Å, b = 3.6593 Å, c = 7.7752 Å
α = 90.00°, β = 90.00°, γ = 120.00°
Site moments in Bohr magnetons follow the coordinates.
Fractional coordinates of all 4 atoms:
Br1 0.0000 0.0000 0.8804  0.10
Br2 0.6667 0.3333 0.3696  0.10
Co1 0.0000 0.0000 0.5539  1.90
Co2 0.6667 0.3333 0.6961  1.90


DFT (PBE) results for GeTeW after structural relaxation.

* E above lowest polymorph: 0.087 eV per atom
* crystal system: monoclinic
* ΔE_f (raw): 291 meV/atom

a = 7.7910 Å, b = 3.3206 Å, c = 11.6372 Å
α = 90.00°, β = 121.69°, γ = 90.00°
Fractional coordinates of all 12 atoms:
W1 0.4370 0.0000 0.9662
W2 0.3505 0.5000 0.7214
W3 0.3505 0.0000 0.2214
W4 0.4370 0.5000 0.4662
Te1 0.6132 0.5000 0.1961
Te2 0.1133 0.0000 0.3351
Te3 0.1133 0.5000 0.8351
Te4 0.6132 0.0000 0.6961
Ge1 0.0681 0.0000 0.5698
Ge2 0.6941 0.0000 0.4556
Ge3 0.6941 0.5000 0.9556
Ge4 0.0681 0.5000 0.0698


Number 1: density 7.0 g cm⁻³. Number 2: density 17.1 g cm⁻³. Number 3: density 7.1 g cm⁻³. Number 4: density 4.2 g cm⁻³. Number 5: density 5.7 g cm⁻³. Number 6: density 7.1 g cm⁻³. Number 7: density 5.1 g cm⁻³. Number 8: density 10.0 g cm⁻³.